Entry 1:
An optimized crystal structure of La2Co6C3. Source: Alexandria via LeMat-Bulk, functional PBE.

Cell lengths 6.9669, 6.9669, 3.6349 Å; angles 90.00, 90.00, 120.00 degrees
With the nearest neighbours (Å) after each atom.
Fractional coordinates of all 11 atoms:
La1 0.3333 0.6667 0.0000  3 Co 2.80, 6 C 3.04
La2 0.6667 0.3333 0.0000  3 Co 2.80, 6 C 3.04
Co1 0.0000 0.2200 0.0000  2 C 1.91
Co2 0.0000 0.7741 0.5000  2 C 1.90
Co3 0.2200 0.0000 0.0000  2 C 1.91
Co4 0.2259 0.2259 0.5000  2 C 1.90
Co5 0.7741 0.0000 0.5000  2 C 1.90
Co6 0.7800 0.7800 0.0000  2 C 1.91
C1 0.0000 0.3024 0.5000  4 Co 1.90-1.91
C2 0.3024 0.0000 0.5000  4 Co 1.90-1.91
C3 0.6976 0.6976 0.5000  4 Co 1.90-1.91

DFT formation energy ... 5.34 kJ/mol of atoms
Electronic total energy ... -7.232 eV/atom
SG ... P-62m, No. 189

Entry 2:
An optimized crystal structure of NpTi2Sn. Source: Alexandria via LeMat-Bulk, functional PBE.

Cell lengths 4.5564, 4.5564, 3.7496 Å; angles 90.00, 90.00, 90.00 degrees
With the nearest neighbours (Å) after each atom.
Fractional coordinates of all 4 atoms:
Np1 0.0000 0.0000 0.0000  8 Ti 2.95, 4 Sn 3.22
Ti1 0.0000 0.5000 0.5000  4 Sn 2.95, 4 Np 2.95, 4 Ti 3.22
Ti2 0.5000 0.0000 0.5000  4 Sn 2.95, 4 Np 2.95, 4 Ti 3.22
Sn1 0.5000 0.5000 0.0000  8 Ti 2.95, 4 Np 3.22

Energy relative to the lowest polymorph listed for this composition ... 0.0 kJ/mol of atoms
DFT formation energy ... -5.58 kJ/mol of atoms
Electronic total energy ... -8.241 eV/atom
SG ... P4/mmm, No. 123

Entry 3:
An optimized crystal structure of SrCa2YHg. Source: Alexandria via LeMat-Bulk, functional PBE.

Cell lengths 5.9609, 5.9609, 5.8381 Å; angles 90.00, 90.00, 90.00 degrees
With the nearest neighbours (Å) after each atom.
Fractional coordinates of all 5 atoms:
Sr1 0.0000 0.0000 0.0000  8 Ca 4.17, 4 Y 4.22
Ca1 0.0000 0.5000 0.5000  2 Hg 2.98
Ca2 0.5000 0.0000 0.5000  2 Hg 2.98
Y1 0.5000 0.5000 0.0000  2 Hg 2.92
Hg1 0.5000 0.5000 0.5000  2 Y 2.92, 4 Ca 2.98

DFT formation energy ... -3.27 kJ/mol of atoms
Electronic total energy ... -2.524 eV/atom
SG ... P4/mmm, No. 123

Entry 4:
An optimized crystal structure of NbBiRh. Source: Alexandria via LeMat-Bulk, functional PBE.

Cell lengths 6.1308, 3.2600, 7.0776 Å; angles 90.00, 115.55, 90.00 degrees
With the nearest neighbours (Å) after each atom.
Fractional coordinates of all 6 atoms:
Nb1 0.0000 0.0000 0.0000  4 Rh 2.64-2.66
Nb2 0.4940 0.0000 0.0003  4 Rh 2.64-2.66
Bi1 0.4149 0.5000 0.3390  1 Rh 2.84, 4 Nb 3.10-3.11
Bi2 0.9459 0.0000 0.4010  2 Rh 2.88, 2 Nb 2.99-3.00
Rh1 0.1339 0.5000 0.7728  4 Nb 2.66, 2 Bi 2.88
Rh2 0.6395 0.5000 0.7844  4 Nb 2.64, 1 Bi 2.84

DFT formation energy ... -6.00 kJ/mol of atoms
Electronic total energy ... -7.163 eV/atom
SG ... Pm, No. 6

Entry 5:
An optimized crystal structure of MoRuPt2. Source: Alexandria via LeMat-Bulk, functional PBE.

Cell lengths 3.8647, 3.8647, 8.0851 Å; angles 90.00, 90.00, 90.00 degrees
With the nearest neighbours (Å) after each atom.
Fractional coordinates of all 8 atoms:
Mo1 0.0000 0.0000 0.0000  4 Ru 2.73, 8 Pt 2.80
Mo2 0.5000 0.5000 0.5000  4 Ru 2.73, 8 Pt 2.80
Ru1 0.0000 0.0000 0.5000  4 Mo 2.73, 8 Pt 2.80
Ru2 0.5000 0.5000 0.0000  4 Mo 2.73, 8 Pt 2.80
Pt1 0.0000 0.5000 0.2500  4 Pt 2.73, 4 Ru 2.80, 4 Mo 2.80
Pt2 0.0000 0.5000 0.7500  4 Pt 2.73, 4 Mo 2.80, 4 Ru 2.80
Pt3 0.5000 0.0000 0.2500  4 Pt 2.73, 4 Ru 2.80, 4 Mo 2.80
Pt4 0.5000 0.0000 0.7500  4 Pt 2.73, 4 Mo 2.80, 4 Ru 2.80

Energy relative to the lowest polymorph listed for this composition ... 3.8 kJ/mol of atoms
DFT formation energy ... -14.71 kJ/mol of atoms
Electronic total energy ... -8.200 eV/atom
SG ... I4/mmm, No. 139

Entry 6:
An optimized crystal structure of PdRh3S. Source: Alexandria via LeMat-Bulk, functional PBE.

Cell lengths 4.3438, 4.3438, 4.3438 Å; angles 90.00, 90.00, 90.00 degrees
With the nearest neighbours (Å) after each atom.
Fractional coordinates of all 5 atoms:
Pd1 0.0000 0.0000 0.0000  12 Rh 3.07
Rh1 0.0000 0.5000 0.5000  2 S 2.17
Rh2 0.5000 0.0000 0.5000  2 S 2.17
Rh3 0.5000 0.5000 0.0000  2 S 2.17
S1 0.5000 0.5000 0.5000  6 Rh 2.17

Energy relative to the lowest polymorph listed for this composition ... 0.0 kJ/mol of atoms
Electronic total energy ... -6.003 eV/atom
Raw formation energy ... 0.2724 eV per atom
SG ... Pm-3m, No. 221

Entry 7:
An optimized crystal structure of Cs3Hg2H. Source: Alexandria via LeMat-Bulk, functional PBE.

Cell lengths 8.2983, 8.2983, 8.4067 Å; angles 90.16, 90.16, 80.06 degrees
With the nearest neighbours (Å) after each atom.
Fractional coordinates of all 12 atoms:
Cs1 0.1603 0.8397 0.7500  1 H 2.99
Cs2 0.3378 0.3416 0.0003  2 H 2.99-3.00
Cs3 0.3416 0.3378 0.5003  2 H 2.99-3.00
Cs4 0.6584 0.6622 0.4997  2 H 2.99-3.00
Cs5 0.6622 0.6584 0.9997  2 H 2.99-3.00
Cs6 0.8397 0.1603 0.2500  1 H 2.99
Hg1 0.0665 0.6955 0.2533  1 Hg 3.03
Hg2 0.3045 0.9335 0.2467  1 Hg 3.03
Hg3 0.6955 0.0665 0.7533  1 Hg 3.03
Hg4 0.9335 0.3045 0.7467  1 Hg 3.03
H1 0.4408 0.5592 0.7500  5 Cs 2.99-3.00
H2 0.5592 0.4408 0.2500  5 Cs 2.99-3.00

Electronic total energy ... -1.249 eV/atom
SG ... C2/c, No. 15

Entry 8:
An optimized crystal structure of PrY2Er3S6. Source: Alexandria via LeMat-Bulk, functional PBE.

Cell lengths 6.7884, 6.7884, 6.8187 Å; angles 99.53, 99.53, 120.16 degrees
With the nearest neighbours (Å) after each atom.
Fractional coordinates of all 12 atoms:
Pr1 0.0000 0.0000 0.0000  6 S 2.86-2.88
Y1 0.3342 0.6658 0.0000  6 S 2.77-2.80
Y2 0.6658 0.3342 0.0000  6 S 2.77-2.80
Er1 0.1620 0.8380 0.5000  6 S 2.71-2.76
Er2 0.5000 0.5000 0.5000  6 S 2.69-2.76
Er3 0.8380 0.1620 0.5000  6 S 2.71-2.76
S1 0.0872 0.4307 0.2618  3 Er 2.71-2.76, 2 Y 2.79-2.80, 1 Pr 2.88
S2 0.2568 0.2568 0.7414  3 Er 2.69-2.73, 2 Y 2.77, 1 Pr 2.86
S3 0.4307 0.0872 0.2618  3 Er 2.71-2.76, 2 Y 2.79-2.80, 1 Pr 2.88
S4 0.5693 0.9128 0.7382  3 Er 2.71-2.76, 2 Y 2.79-2.80, 1 Pr 2.88
S5 0.7432 0.7432 0.2586  3 Er 2.69-2.73, 2 Y 2.77, 1 Pr 2.86
S6 0.9128 0.5693 0.7382  3 Er 2.71-2.76, 2 Y 2.79-2.80, 1 Pr 2.88

Electronic total energy ... -6.661 eV/atom
Raw formation energy ... -1.9805 eV per atom
SG ... C2/m, No. 12